Here is a geometry-optimized Cs2TmMoO6 structure from the Alexandria database. Energies are from PBE with a Hubbard U.

Structure (extended XYZ):
```
10
Lattice="-4.069 0.741 4.026 3.585 -3.799 4.322 0.983 6.703 -0.240" Properties=species:S:1:pos:R:3 pbc="T T T"
O -1.885 5.926 3.523
O 2.985 1.817 4.438
O 2.384 -2.281 4.585
O -2.486 1.829 3.669
O 0.193 0.041 1.943
O 0.306 3.604 6.164
Cs -0.769 0.337 6.251
Cs 1.268 3.309 1.857
Tm -2.034 0.370 2.013
Mo 0.000 0.000 0.000
```

Output
Its crystal system is trigonal. As for the symmetry: P-3m1, No. 164. The calculated volume comes out at 229.7 Å³/cell. As for the total DFT energy (no corrections): -0.4573 Ry/atom.